<1>
12
Lattice="5.580 0.165 -1.318 -2.041 5.196 -1.318 -0.133 -0.202 8.560" Properties=species:S:1:pos:R:3 comment="Tm2MgGa3, optimized geometry, DFT PBE" dos_ef_per_ev_atom=0.443 space_group="Fmmm (69)" pbc="T T T"
Tm 2.668 4.042 -1.987
Tm 0.871 1.319 -0.648
Tm 3.608 1.322 2.962
Tm -0.202 3.838 2.962
Ga 0.112 4.360 -0.127
Ga 0.537 0.814 2.377
Ga -0.559 3.344 6.052
Ga 3.966 1.816 -0.127
Ga 2.869 4.346 3.548
Ga 3.295 0.799 6.052
Mg 2.317 3.510 1.104
Mg 1.089 1.650 4.820



<2>
6
Lattice="4.735 0.000 0.000 0.000 5.861 0.000 -2.367 -2.931 5.031" Properties=species:S:1:pos:R:3 comment="Tm2MgGa3, optimized geometry, DFT PBE" dos_ef_per_ev_atom=0.831 space_group="Immm (71)" pbc="T T T"
Tm 2.367 0.000 1.754
Tm 0.000 2.931 3.277
Ga 0.000 0.000 3.555
Ga 2.367 2.931 1.476
Ga 0.000 0.000 0.000
Mg 0.000 2.931 0.000



Need the numbers? Relative energies in meV per atom: <1> 0; <2> 264.



<1>
6
Lattice="-1.739 4.748 -2.062 -5.305 0.733 -1.069 -2.963 3.395 3.085" Properties=species:S:1:pos:R:3 comment="TmMgGa4, optimized geometry, DFT PBE" dos_ef_per_ev_atom=0.513 space_group="F-43m (216)" pbc="T T T"
Ga -6.252 5.546 -0.029
Ga -3.604 5.180 0.505
Ga -4.773 3.851 -1.569
Ga -5.384 3.176 1.000
Mg 0.000 0.000 0.000
Tm -2.502 2.219 -0.012



<2>
6
Lattice="3.928 0.000 1.888 1.632 5.125 1.636 -0.277 0.279 5.608" Properties=species:S:1:pos:R:3 comment="TmMgGa4, optimized geometry, DFT PBE" dos_ef_per_ev_atom=0.275 space_group="Immm (71)" pbc="T T T"
Tm -0.139 0.140 2.804
Ga 2.787 0.616 1.746
Ga 3.343 3.010 5.621
Ga 1.939 2.394 3.510
Ga 2.495 4.788 7.385
Mg 0.816 2.562 0.818



Need the numbers? Relative energies in meV per atom: <1> 100; <2> 0.



<1>
4
Lattice="4.748 0.000 0.000 0.000 4.297 0.000 0.000 0.000 4.297" Properties=species:S:1:pos:R:3 comment="TmMg2Ga, optimized geometry, DFT PBE" dos_ef_per_ev_atom=0.223 space_group="P4/mmm (123)" pbc="T T T"
Tm 2.374 2.149 2.149
Mg 0.000 2.149 0.000
Mg 0.000 0.000 2.149
Ga 2.374 0.000 0.000



<2>
4
Lattice="3.187 0.000 0.000 1.593 2.760 0.000 1.593 0.920 10.921" Properties=species:S:1:pos:R:3 comment="TmMg2Ga, optimized geometry, DFT PBE" dos_ef_per_ev_atom=0.553 space_group="R-3m (166)" pbc="T T T"
Tm 0.000 0.000 0.000
Mg 1.593 0.920 7.739
Mg 4.780 2.760 3.182
Ga 3.187 1.840 5.460



Need the numbers? Relative energies in meV per atom: <1> 0; <2> 407.



<1>
3
Lattice="2.789 0.000 0.000 0.000 2.789 0.000 -1.395 -1.395 6.125" Properties=species:S:1:pos:R:3 comment="MgVGa, optimized geometry, DFT PBE" dos_ef_per_ev_atom=0.768 space_group="I4mm (107)" pbc="T T T"
Mg 0.000 0.000 3.459
Ga 1.395 1.395 5.621
V 1.395 1.395 1.333



<2>
6
Lattice="-0.566 4.329 -1.020 -3.940 1.034 -3.277 -3.452 2.687 3.465" Properties=species:S:1:pos:R:3 comment="MgVGa, optimized geometry, DFT PBE" dos_ef_per_ev_atom=0.697 space_group="Fmmm (69)" pbc="T T T"
Ga -1.398 2.349 0.888
Ga -2.620 4.668 1.556
Mg -1.701 3.979 -1.879
Mg -2.806 1.385 -2.419
V -4.121 5.108 -0.671
V -3.838 2.943 -0.161



Need the numbers? Relative energies in meV per atom: <1> 0; <2> 102.



<1>
6
Lattice="-4.902 -3.446 -1.405 2.427 -4.099 1.585 -2.793 2.663 3.213" Properties=species:S:1:pos:R:3 comment="YMgGa, optimized geometry, DFT PBE" dos_ef_per_ev_atom=0.241 space_group="P6_3/mmc (194)" pbc="T T T"
Y -0.889 -4.972 1.815
Y -1.918 1.260 3.603
Ga -4.369 -0.463 2.900
Ga 1.561 -3.249 2.518
Mg -3.854 -3.579 2.007
Mg -1.403 -1.856 2.709



<2>
12
Lattice="-2.652 -0.764 6.828 4.041 -0.632 1.499 0.854 8.491 1.281" Properties=species:S:1:pos:R:3 comment="YMgGa, optimized geometry, DFT PBE" dos_ef_per_ev_atom=0.491 space_group="Pnma (62)" pbc="T T T"
Mg 1.367 -0.480 5.605
Mg 0.874 7.575 4.003
Mg -0.781 3.922 6.924
Mg 3.022 3.173 2.685
Y 3.661 6.472 2.355
Y -1.419 0.623 7.253
Y 2.215 4.894 5.589
Y 0.027 2.201 4.020
Ga 0.889 4.951 2.857
Ga -0.222 6.711 6.594
Ga 1.353 2.144 6.751
Ga 2.464 0.384 3.014



Need the numbers? Relative energies in meV per atom: <1> 10; <2> 0.



<1>
3
Lattice="-0.628 2.725 -2.236 -4.417 0.286 1.589 3.411 2.487 2.073" Properties=species:S:1:pos:R:3 comment="YMgGa, optimized geometry, DFT PBE" dos_ef_per_ev_atom=0.781 space_group="P-6m2 (187)" pbc="T T T"
Ga 0.696 2.209 1.538
Mg -0.104 0.453 -0.372
Y -2.226 2.836 0.261



<2>
6
Lattice="4.440 -0.002 0.002 0.001 3.999 -0.001 2.217 2.008 7.859" Properties=species:S:1:pos:R:3 comment="YMgGa, optimized geometry, DFT PBE" dos_ef_per_ev_atom=0.734 space_group="C2/m (12)" pbc="T T T"
Ga 2.856 2.928 7.696
Ga 5.079 4.914 3.994
Y 5.078 4.925 7.068
Y 2.857 2.918 4.622
Mg 0.638 2.917 1.915
Mg 2.858 0.917 1.916



<3>
6
Lattice="6.055 0.001 -0.018 -0.001 4.214 0.000 3.041 -2.106 5.541" Properties=species:S:1:pos:R:3 comment="YMgGa, optimized geometry, DFT PBE" dos_ef_per_ev_atom=0.393 space_group="Immm (71)" pbc="T T T"
Y 4.985 0.598 2.029
Y 1.961 2.704 3.261
Ga 1.955 0.597 1.206
Ga 4.991 -1.510 4.083
Mg 3.519 0.598 5.420
Mg 6.467 0.598 5.410



<4>
6
Lattice="3.586 0.000 0.000 0.000 4.642 0.000 0.000 0.000 8.416" Properties=species:S:1:pos:R:3 comment="YMgGa, optimized geometry, DFT PBE" dos_ef_per_ev_atom=0.648 space_group="Pmma (51)" pbc="T T T"
Y 1.119 1.003 5.748
Y 1.119 3.324 0.925
Ga 2.911 3.325 6.795
Ga 2.911 1.004 8.294
Mg 2.909 3.326 4.077
Mg 2.909 1.005 2.596



Need the numbers? Relative energies in meV per atom: <1> 14; <2> 0; <3> 30; <4> 47.



<1>
6
Lattice="5.853 0.011 -0.004 1.662 4.098 0.009 -1.787 -1.672 5.867" Properties=species:S:1:pos:R:3 comment="YMgGa, optimized geometry, DFT PBE" dos_ef_per_ev_atom=0.570 space_group="C2/m (12)" pbc="T T T"
Y 3.630 0.529 1.806
Y -0.923 -0.015 5.598
Mg 3.677 2.893 4.223
Mg 0.693 1.719 3.190
Ga 2.254 3.477 1.729
Ga 2.115 1.134 5.684



<2>
3
Lattice="2.966 -3.890 -0.402 -1.511 -3.999 -2.411 1.978 -1.139 -4.345" Properties=species:S:1:pos:R:3 comment="YMgGa, optimized geometry, DFT PBE" dos_ef_per_ev_atom=0.413 space_group="F-43m (216)" pbc="T T T"
Y 1.716 -4.514 -3.580
Mg 2.574 -6.772 -5.369
Ga 0.858 -2.257 -1.790



Need the numbers? Relative energies in meV per atom: <1> 0; <2> 637.



<1>
8
Lattice="3.185 -5.859 0.000 3.185 5.859 0.000 0.000 0.000 4.973" Properties=species:S:1:pos:R:3 comment="YMg6Ga, optimized geometry, DFT PBE" dos_ef_per_ev_atom=0.623 space_group="Amm2 (38)" pbc="T T T"
Mg 1.585 -0.853 0.000
Mg 3.185 3.953 2.486
Mg 4.785 -0.853 0.000
Mg 3.185 2.125 0.000
Mg 1.611 0.868 2.486
Mg 4.759 0.868 2.486
Y 3.185 -2.194 2.486
Ga 3.185 -3.915 0.000



<2>
8
Lattice="-4.566 0.828 -4.836 3.679 -5.516 0.978 -3.581 -1.846 3.065" Properties=species:S:1:pos:R:3 comment="YMg6Ga, optimized geometry, DFT PBE" dos_ef_per_ev_atom=0.512 space_group="Amm2 (38)" pbc="T T T"
Mg -0.042 -3.997 -2.456
Mg 2.113 -4.311 -0.127
Mg -1.739 -1.347 -2.843
Mg 0.401 -1.650 -0.524
Mg -3.051 -3.995 -1.790
Mg -2.603 -1.626 0.160
Ga -0.931 -4.269 0.522
Y -4.856 -1.249 -2.246



Need the numbers? Relative energies in meV per atom: <1> 10; <2> 0.